# 1
# GGA-PBEsol TiSe2I, relaxed
# - VASP energy: -50.43 eV for the cell shown
# - E above lowest polymorph: 0.166 eV per atom
# - Volume: 311.7 Å³/cell
data_TiSe2I
_space_group_name_H-M_alt 'R -3 m'
_space_group_IT_number 166
_space_group_name_Hall '-R 3 2"'
_cell_length_a 3.1295
_cell_length_b 3.1295
_cell_length_c 36.7488
_cell_angle_alpha 90.00
_cell_angle_beta 90.00
_cell_angle_gamma 120.00
loop_
_atom_site_label
_atom_site_type_symbol
_atom_site_fract_x
_atom_site_fract_y
_atom_site_fract_z
Ti1 Ti 0.0000 0.0000 0.0000
Se1 Se 0.0000 0.0000 0.0656
I1 I 0.0000 0.0000 0.5000

=====

# 2
# GGA-PBEsol AlFeOs2, relaxed
# - VASP energy: -73.58 eV for the cell shown
# - ΔH_f (0 K): 0.1742 eV per atom
# - Volume: 108.4 Å³/cell
data_AlFeOs2
_space_group_name_H-M_alt 'C m m m'
_space_group_IT_number 65
_space_group_name_Hall '-C 2 2'
_cell_length_a 2.847
_cell_length_b 4.545
_cell_length_c 8.379
_cell_angle_alpha 90.00
_cell_angle_beta 90.00
_cell_angle_gamma 90.00
loop_
_atom_site_label
_atom_site_type_symbol
_atom_site_fract_x
_atom_site_fract_y
_atom_site_fract_z
Al1 Al 0.000 0.000 0.000
Fe1 Fe 0.000 0.000 0.500
Os1 Os 0.000 0.500 0.250

=====

# 3
# GGA-PBEsol ScTaMo4, relaxed
# - VASP energy: -265.30 eV for the cell shown
# - ΔH_f (0 K): -0.0163 eV per atom
# - Volume: 408.4 Å³/cell
data_ScTaMo4
_space_group_name_H-M_alt 'F -4 3 m'
_space_group_IT_number 216
_space_group_name_Hall 'F -4 2 3'
_cell_length_a 7.419
_cell_length_b 7.419
_cell_length_c 7.419
_cell_angle_alpha 90.00
_cell_angle_beta 90.00
_cell_angle_gamma 90.00
loop_
_atom_site_label
_atom_site_type_symbol
_atom_site_fract_x
_atom_site_fract_y
_atom_site_fract_z
Sc1 Sc 0.000 0.000 0.000
Ta1 Ta 0.250 0.250 0.250
Mo1 Mo 0.125 0.125 0.625

=====

# 4
# GGA-PBEsol CrNi6Rh, relaxed
# - VASP energy: -440.31 eV for the cell shown
# - ΔH_f (0 K): 0.0359 eV per atom
# - Volume: 697.6 Å³/cell
data_CrNi6Rh
_space_group_name_H-M_alt 'C m m m'
_space_group_IT_number 65
_space_group_name_Hall '-C 2 2'
_cell_length_a 7.035
_cell_length_b 9.956
_cell_length_c 9.960
_cell_angle_alpha 90.00
_cell_angle_beta 90.00
_cell_angle_gamma 90.00
loop_
_atom_site_label
_atom_site_type_symbol
_atom_site_fract_x
_atom_site_fract_y
_atom_site_fract_z
Cr1 Cr 0.000 0.000 0.250
Cr2 Cr 0.000 0.249 0.000
Ni1 Ni 0.000 0.000 0.000
Ni2 Ni 0.000 0.000 0.500
Ni3 Ni 0.000 0.247 0.244
Ni4 Ni 0.000 0.500 0.000
Ni5 Ni 0.000 0.500 0.500
Ni6 Ni 0.246 0.124 0.372
Ni7 Ni 0.247 0.126 0.122
Rh1 Rh 0.000 0.249 0.500
Rh2 Rh 0.000 0.500 0.250

=====

What are the N(E_F) values for these records? In order: 3.9, 3.6, 2.9, 14.1 states/eV/f.u..